Compound: NiGe2O6
Source: the Alexandria database
Functional: PBE with a Hubbard U
Structure: optimized geometry

a = 6.8067 Å, b = 6.8067 Å, c = 5.5638 Å
α = 73.21°, β = 73.21°, γ = 80.72°
With the nearest neighbours (Å) after each atom.
Sites, in units of the cell vectors:
Ni 0.0883 0.9117 0.7500  6 O 1.95-2.07
Ni 0.9117 0.0883 0.2500  6 O 1.95-2.07
Ge 0.2053 0.3746 0.7682  4 O 1.76-1.78
Ge 0.6254 0.7947 0.7318  4 O 1.76-1.78
Ge 0.7947 0.6254 0.2318  4 O 1.76-1.78
Ge 0.3746 0.2053 0.2682  4 O 1.76-1.78
O 0.3316 0.3966 0.4385  2 Ge 1.76
O 0.6034 0.6684 0.0615  2 Ge 1.76
O 0.6684 0.6034 0.5615  2 Ge 1.76
O 0.3966 0.3316 0.9385  2 Ge 1.76
O 0.6180 0.0614 0.2680  1 Ge 1.78
O 0.9386 0.3820 0.2320  1 Ge 1.78
O 0.3820 0.9386 0.7320  1 Ge 1.78
O 0.0614 0.6180 0.7680  1 Ge 1.78
O 0.0319 0.1779 0.8767  1 Ge 1.78, 1 Ni 1.95
O 0.8221 0.9681 0.6233  1 Ge 1.78, 1 Ni 1.95
O 0.9681 0.8221 0.1233  1 Ge 1.78, 1 Ni 1.95
O 0.1779 0.0319 0.3767  1 Ge 1.78, 1 Ni 1.95

Its size of the total moment is 0.446 μB/atom. The value obtained for the total energy is -5.659 eV per atom. As for the density of states at the Fermi level: 3.88 states/eV/cell.